# Tb3Nd3Er, relaxed, DFT PBE-GGA
# * N(E_F): 26.61 states/eV per cell
# * calculated volume: 468.9 Å³/cell
# * size of the total moment: 0.0 μB per formula unit
# * E: -4.66 eV per atom
# * calculated formation energy: 0.0215 eV/atom
# * relative energy among the computed polymorphs: 0.000 eV/atom
data_Tb3Nd3Er
_cell_length_a 9.6850
_cell_length_b 9.6850
_cell_length_c 5.7726
_cell_angle_alpha 90.00
_cell_angle_beta 90.00
_cell_angle_gamma 120.00
_space_group_name_H-M_alt 'P 63/m'
_space_group_IT_number 176
_space_group_name_Hall '-P 6c'
loop_
_atom_site_label
_atom_site_fract_x
_atom_site_fract_y
_atom_site_fract_z
Tb1 0.0458 0.8098 0.2500
Nd1 0.0950 0.6210 0.7500
Er1 0.3333 0.6667 0.2500

# PrThSe4, relaxed, DFT PBE-GGA
# * N(E_F): 13.81 states/eV per cell
# * formation energy (no corrections): -1.561 eV/atom
# * calculated volume: 650.8 Å³/cell
# * size of the total moment: 0.0 μB per formula unit
# * E: -5.92 eV per atom
data_PrThSe4
_cell_length_a 4.126
_cell_length_b 14.896
_cell_length_c 10.588
_cell_angle_alpha 90.00
_cell_angle_beta 90.00
_cell_angle_gamma 90.00
_space_group_name_H-M_alt 'C m c 21'
_space_group_IT_number 36
loop_
_space_group_symop_operation_xyz
'x,y,z'
'-x,-y,z+1/2'
'-x,y,z'
'x,-y,z+1/2'
'x+1/2,y+1/2,z'
'-x+1/2,-y+1/2,z+1/2'
'-x+1/2,y+1/2,z'
'x+1/2,-y+1/2,z+1/2'
loop_
_atom_site_label
_atom_site_fract_x
_atom_site_fract_y
_atom_site_fract_z
Pr1 0.000 0.201 0.000
Th1 0.000 0.440 0.139
Se1 0.000 0.067 0.213
Se2 0.000 0.142 0.448
Se3 0.000 0.212 0.700
Se4 0.000 0.431 0.423

# CdBrO2F, relaxed, DFT PBE-GGA
# * N(E_F): 3.80 states/eV per cell
# * formation energy (no corrections): 0.044 eV/atom
# * calculated volume: 87.6 Å³/cell
# * size of the total moment: 4.0 μB per formula unit
# * E: -2.83 eV per atom
data_CdBrO2F
_cell_length_a 4.523
_cell_length_b 4.523
_cell_length_c 4.285
_cell_angle_alpha 90.00
_cell_angle_beta 90.00
_cell_angle_gamma 90.00
_space_group_name_H-M_alt 'P 4/m m m'
_space_group_IT_number 123
_space_group_name_Hall '-P 4 2'
loop_
_atom_site_label
_atom_site_fract_x
_atom_site_fract_y
_atom_site_fract_z
Cd1 0.000 0.000 0.000
Br1 0.500 0.500 0.500
O1 0.000 0.500 0.000
F1 0.000 0.000 0.500

# MgVRe2Pt, relaxed, DFT PBE-GGA
# * N(E_F): 5.68 states/eV per cell
# * calculated volume: 95.1 Å³/cell
# * size of the total moment: 0.0 μB per formula unit
# * E: -7.18 eV per atom
# * calculated formation energy: 1.1504 eV/atom
data_MgVRe2Pt
_cell_length_a 4.482
_cell_length_b 4.482
_cell_length_c 4.733
_cell_angle_alpha 90.00
_cell_angle_beta 90.00
_cell_angle_gamma 90.00
_space_group_name_H-M_alt 'P 4/m m m'
_space_group_IT_number 123
_space_group_name_Hall '-P 4 2'
loop_
_atom_site_label
_atom_site_fract_x
_atom_site_fract_y
_atom_site_fract_z
Mg1 0.000 0.000 0.000
V1 0.500 0.500 0.500
Re1 0.000 0.500 0.500
Pt1 0.500 0.500 0.000